A plane-wave DFT calculation with PBE was carried out for a geometry-optimized LaNdSO2 structure.

Lattice parameters (Å, degrees): 3.9971 3.9971 6.8476 90.00 90.00 120.00
Last column: nearest neighbours and their distance in Å.
Fractional positions:
1 La 0.0000 0.0000 0.0000  4 O 2.40-2.42
2 Nd 0.3333 0.6667 0.5581  4 O 2.38-2.39
3 S 0.6667 0.3333 0.2824  3 Nd 2.98, 3 La 3.01
4 O 0.0000 0.0000 0.6463  3 Nd 2.39, 1 La 2.42
5 O 0.3333 0.6667 0.9061  1 Nd 2.38, 3 La 2.40

The value obtained for the energy is -7.87 eV per atom. The magnetization comes out at 0.003 μB/f.u.